Material: VCuPb2
Method: DFT, PBE
State: optimized geometry

Calculated values
Excess energy over the best structure of this formula in the dataset (meV per atom): 143
Space group: I-42d (122)
DFT formation energy (eV per formula unit): 2.61
ρ (g/cm3): 9.56

Cell lengths 6.259, 6.259, 6.259 Å; angles 104.36, 104.36, 120.26 degrees
Fractional positions:
V1 0.000 0.000 0.000
V2 0.750 0.250 0.500
Cu1 0.250 0.750 0.500
Cu2 0.500 0.500 0.000
Pb1 0.152 0.125 0.527
Pb2 0.375 0.848 0.973
Pb3 0.598 0.625 0.473
Pb4 0.875 0.402 0.027


Material: Y2TaPb
Method: DFT, PBE
State: optimized geometry

Calculated values
Space group: Cm (8)
DFT formation energy (eV per formula unit): 0.41
ρ (g/cm3): 9.02

Cell lengths 6.084, 6.084, 5.623 Å; angles 104.90, 104.90, 31.32 degrees
Fractional positions:
Y1 0.000 0.000 0.000
Y2 0.203 0.203 0.643
Ta1 0.744 0.744 0.158
Pb1 0.447 0.447 0.473


Material: LaTl2Zn
Method: DFT, PBE
State: optimized geometry

Calculated values
Space group: F-43m (216)
DFT formation energy (eV per formula unit): -0.73
ρ (g/cm3): 9.39

Cell lengths 5.351, 5.351, 5.351 Å; angles 60.00, 60.00, 60.00 degrees
Fractional positions:
La1 0.000 0.000 0.000
Tl1 0.500 0.500 0.500
Tl2 0.750 0.750 0.750
Zn1 0.250 0.250 0.250


Material: ZrTaS2Cl
Method: DFT, PBE
State: optimized geometry

Calculated values
Excess energy over the best structure of this formula in the dataset (meV per atom): 305
Formation energy without anion corrections (eV per atom): 0.155
Space group: P4/mmm (123)
ρ (g/cm3): 5.10

Cell lengths 5.002, 5.002, 4.834 Å; angles 90.00, 90.00, 90.00 degrees
Fractional positions:
Zr1 0.000 0.000 0.000
Ta1 0.500 0.500 0.500
S1 0.000 0.500 0.000
S2 0.500 0.000 0.000
Cl1 0.000 0.000 0.500


Size of the total moment list, top to bottom, in Bohr magnetons per cell: 5.79 0.00 0.00 3.62